[1]
Material: Ba2Pb5Au3
Method: DFT, PBE
State: optimized geometry

CIF file:
```
data_Ba2Pb5Au3
_cell_length_a 7.227
_cell_length_b 10.057
_cell_length_c 10.057
_cell_angle_alpha 72.28
_cell_angle_beta 68.94
_cell_angle_gamma 68.94
_space_group_name_H-M_alt 'P 1'
_space_group_IT_number 1
_space_group_name_Hall 'P 1'
loop_
_atom_site_label
_atom_site_type_symbol
_atom_site_fract_x
_atom_site_fract_y
_atom_site_fract_z
_atom_site_occupancy
Pb1 Pb 0.113 0.017 0.756 1
Au1 Au 0.750 0.000 0.000 1
Pb2 Pb 0.490 0.260 0.260 1
Ba1 Ba 0.124 0.634 0.118 1
Pb3 Pb 0.990 0.260 0.260 1
Au2 Au 0.122 0.246 0.511 1
Au3 Au 0.250 0.000 0.000 1
Pb4 Pb 0.010 0.740 0.740 1
Pb5 Pb 0.750 0.500 0.500 1
Ba2 Ba 0.876 0.366 0.882 1
Ba3 Ba 0.376 0.882 0.366 1
Au4 Au 0.622 0.511 0.246 1
Ba4 Ba 0.624 0.118 0.634 1
Au5 Au 0.878 0.754 0.489 1
Pb6 Pb 0.250 0.500 0.500 1
Pb7 Pb 0.887 0.983 0.244 1
Pb8 Pb 0.387 0.244 0.983 1
Pb9 Pb 0.510 0.740 0.740 1
Au6 Au 0.378 0.489 0.754 1
Pb10 Pb 0.613 0.756 0.017 1
```

Output
Relative energy among the computed polymorphs ... 0.0 kJ/mol of formula units

***

[2]
Material: BaPbAu2
Method: DFT, PBE
State: optimized geometry

CIF file:
```
data_BaPbAu2
_cell_length_a 6.499
_cell_length_b 6.499
_cell_length_c 6.499
_cell_angle_alpha 44.07
_cell_angle_beta 44.07
_cell_angle_gamma 44.07
_space_group_name_H-M_alt 'P 1'
_space_group_IT_number 1
_space_group_name_Hall 'P 1'
loop_
_atom_site_label
_atom_site_type_symbol
_atom_site_fract_x
_atom_site_fract_y
_atom_site_fract_z
_atom_site_occupancy
Au1 Au 0.307 0.307 0.307 1
Ba1 Ba 0.511 0.511 0.511 1
Pb1 Pb 0.711 0.711 0.711 1
Au2 Au 0.971 0.971 0.971 1
```

***

[3]
Material: BaPb3Au8
Method: DFT, PBE
State: optimized geometry

CIF file:
```
data_BaPb3Au8
_cell_length_a 5.813
_cell_length_b 5.813
_cell_length_c 10.028
_cell_angle_alpha 73.15
_cell_angle_beta 73.15
_cell_angle_gamma 60.00
_space_group_name_H-M_alt 'P 1'
_space_group_IT_number 1
_space_group_name_Hall 'P 1'
loop_
_atom_site_label
_atom_site_type_symbol
_atom_site_fract_x
_atom_site_fract_y
_atom_site_fract_z
_atom_site_occupancy
Au1 Au 0.439 0.941 0.181 1
Au2 Au 0.188 0.188 0.437 1
Au3 Au 0.937 0.435 0.690 1
Au4 Au 0.941 0.439 0.181 1
Au5 Au 0.688 0.688 0.937 1
Pb1 Pb 0.372 0.372 0.883 1
Pb2 Pb 0.493 0.493 0.521 1
Au6 Au 0.435 0.937 0.690 1
Pb3 Pb 0.004 0.004 0.987 1
Ba1 Ba 0.876 0.876 0.371 1
Au7 Au 0.439 0.439 0.181 1
Au8 Au 0.937 0.937 0.690 1
```

***

[4]
Material: Ba2PbAu
Method: DFT, PBE
State: optimized geometry

CIF file:
```
data_Ba2PbAu
_cell_length_a 8.833
_cell_length_b 8.833
_cell_length_c 8.833
_cell_angle_alpha 33.33
_cell_angle_beta 33.33
_cell_angle_gamma 33.33
_space_group_name_H-M_alt 'P 1'
_space_group_IT_number 1
_space_group_name_Hall 'P 1'
loop_
_atom_site_label
_atom_site_type_symbol
_atom_site_fract_x
_atom_site_fract_y
_atom_site_fract_z
_atom_site_occupancy
Pb1 Pb 0.456 0.456 0.456 1
Ba1 Ba 0.208 0.208 0.208 1
Ba2 Ba 0.042 0.042 0.042 1
Au1 Au 0.793 0.793 0.793 1
```

***

Short version: volume = 312 121 277 185 Å³/f.u., in the order given.
Short version: total magnetization = 0.000 0.000 0.000 0.156 μB/atom, in the order given.
Short version: formation enthalpy at 0 K = -0.42 -0.42 -0.21 -0.47 eV per atom, in the order given.